No. 1
# GGA-PBEsol Mn3Fe3Sb2O16, relaxed
# VASP energy in eV/atom: -7.6050
# D(E_F) in states/eV/cell: 25.06
# M_tot in μB/f.u.: 11.8
data_Mn3Fe3Sb2O16
_cell_length_a 9.708
_cell_length_b 5.617
_cell_length_c 9.248
_cell_angle_alpha 90.00
_cell_angle_beta 90.25
_cell_angle_gamma 90.00
_symmetry_space_group_name_H-M 'C 1 m 1'
_symmetry_Int_Tables_number 8
_symmetry_space_group_name_Hall 'C -2y'
loop_
_atom_site_label
_atom_site_type_symbol
_atom_site_fract_x
_atom_site_fract_y
_atom_site_fract_z
_atom_site_occupancy
Mn1 Mn 0.000 0.000 0.000 1
Mn2 Mn 0.081 0.252 0.499 1
Fe1 Fe 0.250 0.260 0.000 1
Fe2 Fe 0.337 0.000 0.500 1
Sb1 Sb 0.330 0.500 0.724 1
Sb2 Sb 0.496 0.000 0.223 1
O1 O 0.002 0.500 0.606 1
O2 O 0.003 0.000 0.612 1
O3 O 0.086 0.242 0.113 1
O4 O 0.150 0.500 0.380 1
O5 O 0.167 0.000 0.402 1
O6 O 0.170 0.000 0.903 1
O7 O 0.178 0.500 0.879 1
O8 O 0.245 0.237 0.613 1
O9 O 0.321 0.000 0.109 1
O10 O 0.336 0.500 0.107 1
O11 O 0.407 0.274 0.881 1
O12 O 0.422 0.228 0.379 1

---

No. 2
# GGA-PBEsol Sr6Mn3FeO14, relaxed
# VASP energy in eV/atom: -7.4650
# D(E_F) in states/eV/cell: 5.01
# M_tot in μB/f.u.: 12.8
data_Sr6Mn3FeO14
_cell_length_a 5.376
_cell_length_b 5.376
_cell_length_c 19.860
_cell_angle_alpha 90.00
_cell_angle_beta 90.00
_cell_angle_gamma 90.00
_symmetry_space_group_name_H-M 'A m m 2'
_symmetry_Int_Tables_number 38
_symmetry_space_group_name_Hall 'A 2 -2'
loop_
_atom_site_label
_atom_site_type_symbol
_atom_site_fract_x
_atom_site_fract_y
_atom_site_fract_z
_atom_site_occupancy
Sr1 Sr 0.000 0.000 0.000 1
Sr2 Sr 0.000 0.000 0.182 1
Sr3 Sr 0.000 0.000 0.365 1
Sr4 Sr 0.500 0.000 0.500 1
Sr5 Sr 0.500 0.000 0.682 1
Sr6 Sr 0.500 0.000 0.865 1
Mn1 Mn 0.000 0.000 0.585 1
Mn2 Mn 0.000 0.000 0.779 1
Mn3 Mn 0.500 0.000 0.281 1
Fe1 Fe 0.500 0.000 0.086 1
O1 O 0.000 0.000 0.490 1
O2 O 0.000 0.000 0.682 1
O3 O 0.000 0.000 0.874 1
O4 O 0.251 0.249 0.086 1
O5 O 0.251 0.249 0.277 1
O6 O 0.500 0.000 0.180 1
O7 O 0.500 0.000 0.374 1
O8 O 0.500 0.000 0.991 1

---

No. 3
# GGA-PBEsol Mn3Fe3Te2O16, relaxed
# VASP energy in eV/atom: -7.4016
# D(E_F) in states/eV/cell: 18.92
# M_tot in μB/f.u.: 11.0
data_Mn3Fe3Te2O16
_cell_length_a 9.669
_cell_length_b 5.598
_cell_length_c 9.386
_cell_angle_alpha 90.00
_cell_angle_beta 90.24
_cell_angle_gamma 90.00
_symmetry_space_group_name_H-M 'C 1 m 1'
_symmetry_Int_Tables_number 8
_symmetry_space_group_name_Hall 'C -2y'
loop_
_atom_site_label
_atom_site_type_symbol
_atom_site_fract_x
_atom_site_fract_y
_atom_site_fract_z
_atom_site_occupancy
Mn1 Mn 0.000 0.000 0.000 1
Mn2 Mn 0.083 0.254 0.499 1
Fe1 Fe 0.251 0.262 0.999 1
Fe2 Fe 0.339 0.000 0.500 1
Te1 Te 0.333 0.500 0.724 1
Te2 Te 0.496 0.000 0.220 1
O1 O 0.004 0.500 0.605 1
O2 O 0.006 0.000 0.614 1
O3 O 0.087 0.241 0.115 1
O4 O 0.153 0.500 0.383 1
O5 O 0.167 0.000 0.401 1
O6 O 0.170 0.000 0.904 1
O7 O 0.179 0.500 0.882 1
O8 O 0.248 0.236 0.615 1
O9 O 0.321 0.000 0.113 1
O10 O 0.336 0.500 0.106 1
O11 O 0.410 0.271 0.883 1
O12 O 0.422 0.229 0.383 1

---

No. 4
# GGA-PBEsol Ti2MnFeO6, relaxed
# VASP energy in eV/atom: -8.9646
# D(E_F) in states/eV/cell: 16.22
# M_tot in μB/f.u.: 9.0
data_Ti2MnFeO6
_cell_length_a 5.0738
_cell_length_b 5.0738
_cell_length_c 13.8917
_cell_angle_alpha 90.00
_cell_angle_beta 90.00
_cell_angle_gamma 120.00
_symmetry_space_group_name_H-M 'R 3'
_symmetry_Int_Tables_number 146
_symmetry_space_group_name_Hall 'R 3'
loop_
_atom_site_label
_atom_site_type_symbol
_atom_site_fract_x
_atom_site_fract_y
_atom_site_fract_z
_atom_site_occupancy
Ti1 Ti 0.0000 0.0000 0.0000 1
Ti2 Ti 0.0000 0.0000 0.2948 1
Mn1 Mn 0.0000 0.0000 0.7900 1
Fe1 Fe 0.0000 0.0000 0.5025 1
O1 O 0.0103 0.3145 0.9015 1
O2 O 0.0421 0.6897 0.0614 1

---

No. 5
# GGA-PBEsol Y2MnFeO6, relaxed
# VASP energy in eV/atom: -8.9446
# D(E_F) in states/eV/cell: 2.08
# M_tot in μB/f.u.: 3.0
data_Y2MnFeO6
_cell_length_a 5.110
_cell_length_b 5.474
_cell_length_c 8.910
_cell_angle_alpha 90.00
_cell_angle_beta 124.36
_cell_angle_gamma 90.00
_symmetry_space_group_name_H-M 'P 1 21/c 1'
_symmetry_Int_Tables_number 14
_symmetry_space_group_name_Hall '-P 2ybc'
loop_
_atom_site_label
_atom_site_type_symbol
_atom_site_fract_x
_atom_site_fract_y
_atom_site_fract_z
_atom_site_occupancy
Y1 Y 0.228 0.074 0.250 1
Mn1 Mn 0.500 0.000 0.000 1
Fe1 Fe 0.000 0.000 0.500 1
O1 O 0.142 0.197 0.950 1
O2 O 0.258 0.701 0.949 1
O3 O 0.352 0.028 0.750 1

---

No. 6
# GGA-PBEsol MnZnFe4O8, relaxed
# VASP energy in eV/atom: -7.6482
# D(E_F) in states/eV/cell: 41.21
# M_tot in μB/f.u.: 9.0
data_MnZnFe4O8
_cell_length_a 8.095
_cell_length_b 8.095
_cell_length_c 8.095
_cell_angle_alpha 90.00
_cell_angle_beta 90.00
_cell_angle_gamma 90.00
_symmetry_space_group_name_H-M 'F -4 3 m'
_symmetry_Int_Tables_number 216
_symmetry_space_group_name_Hall 'F -4 2 3'
loop_
_atom_site_label
_atom_site_type_symbol
_atom_site_fract_x
_atom_site_fract_y
_atom_site_fract_z
_atom_site_occupancy
Mn1 Mn 0.000 0.000 0.000 1
Zn1 Zn 0.250 0.250 0.750 1
Fe1 Fe 0.126 0.126 0.374 1
O1 O 0.111 0.111 0.611 1
O2 O 0.137 0.137 0.137 1